# 1
NpSn2Sb | GGA-PBE | optimized geometry

Its energy above the most stable polymorph in this dataset is 0.0 kJ/mol of atoms. For the calculated density, the calculation gives 9.766 g cm⁻³. As for the total energy: -6.41 eV/atom. The formation energy from raw total energies is -147 meV/atom. The calculation puts the density of states at the Fermi level at 11.88 states/eV per cell.

The structure belongs to space group P4/mmm (No. 123); the cell edges are 4.5666, 4.5666 and 4.8608 Å and the angles 90.00°, 90.00° and 90.00°. The asymmetric unit holds Np at (0.0000, 0.0000, 0.0000), Sn at (0.0000, 0.5000, 0.5000) and Sb at (0.5000, 0.5000, 0.0000).



# 2
NpSnSb3 | GGA-PBE | optimized geometry

For the calculated density, the calculation gives 8.471 g cm⁻³. As for the total energy: -5.84 eV/atom. The formation energy from raw total energies is 25 meV/atom. The calculation puts the density of states at the Fermi level at 18.78 states/eV per cell.

The structure belongs to space group C2/m (No. 12); the cell edges are 18.3060, 3.9565 and 8.0235 Å and the angles 90.00°, 103.39° and 90.00°. The asymmetric unit holds Np at (0.2222, 0.0000, 0.4203), Sn at (0.1196, 0.5000, 0.0026), Sb at (0.0487, 0.0000, 0.2279), Sb at (0.0996, 0.5000, 0.5146) and Sb at (0.2123, 0.0000, 0.8104).



Repeat the first record exactly.
NpSn2Sb | GGA-PBE | optimized geometry

Its energy above the most stable polymorph in this dataset is 0.0 kJ/mol of atoms. For the calculated density, the calculation gives 9.766 g cm⁻³. As for the total energy: -6.41 eV/atom. The formation energy from raw total energies is -147 meV/atom. The calculation puts the density of states at the Fermi level at 11.88 states/eV per cell.

The structure belongs to space group P4/mmm (No. 123); the cell edges are 4.5666, 4.5666 and 4.8608 Å and the angles 90.00°, 90.00° and 90.00°. The asymmetric unit holds Np at (0.0000, 0.0000, 0.0000), Sn at (0.0000, 0.5000, 0.5000) and Sb at (0.5000, 0.5000, 0.0000).



What did the second record say?
NpSnSb3 | GGA-PBE | optimized geometry

For the calculated density, the calculation gives 8.471 g cm⁻³. As for the total energy: -5.84 eV/atom. The formation energy from raw total energies is 25 meV/atom. The calculation puts the density of states at the Fermi level at 18.78 states/eV per cell.

The structure belongs to space group C2/m (No. 12); the cell edges are 18.3060, 3.9565 and 8.0235 Å and the angles 90.00°, 103.39° and 90.00°. The asymmetric unit holds Np at (0.2222, 0.0000, 0.4203), Sn at (0.1196, 0.5000, 0.0026), Sb at (0.0487, 0.0000, 0.2279), Sb at (0.0996, 0.5000, 0.5146) and Sb at (0.2123, 0.0000, 0.8104).